1.
Material: Zr2Sc
Method: DFT, meta-GGA SCAN
State: PBEsol geometry

Calculated values
As for the crystal system: monoclinic. For the energy, the calculation gives -25.21 eV per atom. Its space group is C2/m, No. 12. As for the energy of formation: 0.00 eV per atom.

Geometry as POSCAR:
```
Zr2Sc
1.0
3.189 0.000 0.000
-1.595 5.807 0.001
0.000 -1.762 7.296
Sc Zr
2 4
Direct
0.028 0.056 0.807
0.972 0.944 0.193
0.639 0.278 0.528
0.301 0.603 0.858
0.699 0.397 0.142
0.361 0.722 0.472
```



2.
Material: Li2AlTl
Method: DFT, meta-GGA SCAN
State: PBEsol geometry

Calculated values
As for the crystal system: cubic. For the energy, the calculation gives -21.41 eV per atom. Its space group is Fm-3m, No. 225. As for the energy of formation: -0.19 eV per atom.

Geometry as POSCAR:
```
Li2AlTl
1.0
4.624 0.000 0.000
2.312 4.005 0.000
2.312 1.335 3.776
Tl Al Li
1 1 2
Direct
0.500 0.500 0.500
0.000 0.000 0.000
0.250 0.250 0.250
0.750 0.750 0.750
```



3.
Material: CrSiAu2
Method: DFT, meta-GGA SCAN
State: PBEsol geometry

Calculated values
As for the crystal system: orthorhombic. For the energy, the calculation gives -41.73 eV per atom. Its space group is Immm, No. 71. The uncorrected formation energy is -0.0520 eV/atom.

Geometry as POSCAR:
```
CrSiAu2
1.0
3.093 0.000 0.000
0.000 3.996 0.000
-1.546 -1.998 5.145
Au Cr Si
2 1 1
Direct
0.806 0.806 0.613
0.194 0.194 0.387
0.000 0.500 0.000
0.500 0.000 0.000
```



- Look up the energy of the first one.
  -25.21 eV per atom



- Number 3 is which compound?
  CrSiAu2



- What is the energy in the third record?
  -41.73 eV per atom